No. 1
A geometry-optimized KSn2Se2 structure, computed with PBE-GGA.

a b c (Å): 4.4714 4.4714 14.8097
angles (deg): 90.00 90.00 90.00
Closest atoms and distances in Å follow each position.
Space group I4/mmm (No. 139)
One atom of each set of equivalent atoms:
K  0.0000  0.0000  0.0000  8 Se 3.43
Sn  0.0000  0.5000  0.2500  4 Sn 3.16, 4 Se 3.27
Se  0.0000  0.0000  0.4109  1 Se 2.64

The calculation puts the relative energy among the computed polymorphs at 141 meV/atom.

=====

No. 2
A geometry-optimized KSnSe structure, computed with PBE-GGA.

a b c (Å): 5.4234 6.4304 15.3217
angles (deg): 90.00 90.00 90.00
Closest atoms and distances in Å follow each position.
Space group Immm (No. 71)
One atom of each set of equivalent atoms:
K  0.0000  0.0000  0.1496  1 Se 3.24
Sn  0.0000  0.2692  0.5000  2 Se 2.75, 1 Sn 2.97
Se  0.0000  0.0000  0.3609  2 Sn 2.75

=====

| no. | ρ (Mg/m³) | density of states at the Fermi level (states/eV/cell) | final energy (eV per atom) |
| --- | --- | --- | --- |
| 1 | 4.873 | 4.97 | -3.592 |
| 2 | 2.943 | 3.27 | -3.292 |